Compound: Be3Cu2Ni2
Source: Alexandria
Functional: PBE
Structure: relaxed

a = 6.390 Å, b = 3.685 Å, c = 6.401 Å
α = 90.00°, β = 109.77°, γ = 90.00°
Space group C2/m (No. 12)
Asymmetric unit:
Be1 0.000 0.000 0.000 x2
Be2 0.242 0.500 0.225 x4
Cu1 0.129 0.000 0.386 x4
Ni1 0.121 0.500 0.865 x4

Values from the calculation:
Calculated volume: 141.8 Å³ per cell
Total magnetic moment: 0.000 μB per atom
Calculated formation energy: -0.156 eV per atom

---

Compound: BeCuNi2
Source: Alexandria
Functional: PBE
Structure: relaxed

a = 3.501 Å, b = 3.501 Å, c = 6.772 Å
α = 90.00°, β = 90.00°, γ = 90.00°
Space group I-4m2 (No. 119)
Asymmetric unit:
Be1 0.000 0.000 0.000 x2
Cu1 0.000 0.500 0.750 x2
Ni1 0.000 0.000 0.500 x2
Ni2 0.000 0.500 0.250 x2

Values from the calculation:
Calculated volume: 83.0 Å³ per cell
Total magnetic moment: 0.000 μB per atom
Calculated formation energy: -0.103 eV per atom

---

calculated volume of number 2 (BeCuNi2)?
83.0 Å³ per cell

---

The lowest calculated formation energy belongs to which entry?
Be3Cu2Ni2

---

Please write out number 1 again, unchanged.
Compound: Be3Cu2Ni2
Source: Alexandria
Functional: PBE
Structure: relaxed

a = 6.390 Å, b = 3.685 Å, c = 6.401 Å
α = 90.00°, β = 109.77°, γ = 90.00°
Space group C2/m (No. 12)
Asymmetric unit:
Be1 0.000 0.000 0.000 x2
Be2 0.242 0.500 0.225 x4
Cu1 0.129 0.000 0.386 x4
Ni1 0.121 0.500 0.865 x4

Values from the calculation:
Calculated volume: 141.8 Å³ per cell
Total magnetic moment: 0.000 μB per atom
Calculated formation energy: -0.156 eV per atom